No. 1
Compound: Y4Pt
Source: Alexandria
Functional: PBE
Structure: optimized geometry

Structure (CIF):
```
data_Y4Pt
_space_group_name_H-M_alt 'P m -3 m'
_space_group_IT_number 221
_space_group_name_Hall '-P 4 2 3'
_cell_length_a 5.488
_cell_length_b 5.488
_cell_length_c 5.488
_cell_angle_alpha 90.00
_cell_angle_beta 90.00
_cell_angle_gamma 90.00
loop_
_atom_site_label
_atom_site_type_symbol
_atom_site_fract_x
_atom_site_fract_y
_atom_site_fract_z
Y1 Y 0.000 0.000 0.000
Y2 Y 0.000 0.500 0.500
Pt1 Pt 0.500 0.500 0.500
```

Properties
**Final energy**: -33.555 eV for the cell shown
**V**: 33.06 A^3/atom

***

No. 2
Compound: La2HoTh
Source: Alexandria
Functional: PBE
Structure: optimized geometry

Structure (CIF):
```
data_La2HoTh
_space_group_name_H-M_alt 'P 4/m m m'
_space_group_IT_number 123
_space_group_name_Hall '-P 4 2'
_cell_length_a 5.124
_cell_length_b 5.124
_cell_length_c 5.162
_cell_angle_alpha 90.00
_cell_angle_beta 90.00
_cell_angle_gamma 90.00
loop_
_atom_site_label
_atom_site_type_symbol
_atom_site_fract_x
_atom_site_fract_y
_atom_site_fract_z
La1 La 0.000 0.500 0.000
Ho1 Ho 0.000 0.000 0.500
Th1 Th 0.500 0.500 0.500
```

Properties
**Final energy**: -21.636 eV for the cell shown
**V**: 33.89 A^3/atom

***

No. 3
Compound: Al2Rh
Source: Alexandria
Functional: PBE
Structure: optimized geometry

Structure (CIF):
```
data_Al2Rh
_space_group_name_H-M_alt 'P 1 2/m 1'
_space_group_IT_number 10
_cell_length_a 7.956
_cell_length_b 2.926
_cell_length_c 8.228
_cell_angle_alpha 90.00
_cell_angle_beta 109.25
_cell_angle_gamma 90.00
loop_
_space_group_symop_operation_xyz
'x,y,z'
'-x,-y,-z'
'-x,y,-z'
'x,-y,z'
loop_
_atom_site_label
_atom_site_type_symbol
_atom_site_fract_x
_atom_site_fract_y
_atom_site_fract_z
Al1 Al 0.000 0.000 0.000
Al2 Al 0.103 0.500 0.766
Al3 Al 0.168 0.000 0.500
Al4 Al 0.260 0.500 0.227
Al5 Al 0.500 0.000 0.500
Rh1 Rh 0.316 0.000 0.996
Rh2 Rh 0.405 0.500 0.714
```

Properties
**Final energy**: -64.678 eV for the cell shown
**V**: 15.07 A^3/atom

***

No. 4
Compound: Zr2In2Pb
Source: Alexandria
Functional: PBE
Structure: optimized geometry

Structure (CIF):
```
data_Zr2In2Pb
_space_group_name_H-M_alt 'P 4/m b m'
_space_group_IT_number 127
_space_group_name_Hall '-P 4 2ab'
_cell_length_a 8.937
_cell_length_b 8.937
_cell_length_c 3.198
_cell_angle_alpha 90.00
_cell_angle_beta 90.00
_cell_angle_gamma 90.00
loop_
_atom_site_label
_atom_site_type_symbol
_atom_site_fract_x
_atom_site_fract_y
_atom_site_fract_z
Zr1 Zr 0.125 0.375 0.000
In1 In 0.170 0.670 0.500
Pb1 Pb 0.000 0.000 0.500
```

Properties
**Final energy**: -52.704 eV for the cell shown
**V**: 25.54 A^3/atom

***

No. 5
Compound: Na2B2F7
Source: Alexandria
Functional: PBE
Structure: optimized geometry

Structure (CIF):
```
data_Na2B2F7
_space_group_name_H-M_alt 'C 1 2/m 1'
_space_group_IT_number 12
_cell_length_a 8.349
_cell_length_b 9.106
_cell_length_c 4.535
_cell_angle_alpha 90.00
_cell_angle_beta 101.77
_cell_angle_gamma 90.00
loop_
_space_group_symop_operation_xyz
'x,y,z'
'-x,-y,-z'
'-x,y,-z'
'x,-y,z'
'x+1/2,y+1/2,z'
'-x+1/2,-y+1/2,-z'
'-x+1/2,y+1/2,-z'
'x+1/2,-y+1/2,z'
loop_
_atom_site_label
_atom_site_type_symbol
_atom_site_fract_x
_atom_site_fract_y
_atom_site_fract_z
Na1 Na 0.000 0.184 0.000
B1 B 0.174 0.500 0.410
F1 F 0.000 0.500 0.500
F2 F 0.174 0.373 0.243
F3 F 0.216 0.000 0.318
```

Properties
**Final energy**: -113.301 eV for the cell shown
**V**: 15.34 A^3/atom

***

No. 6
Compound: SrGaS3
Source: Alexandria
Functional: PBE
Structure: optimized geometry

Structure (CIF):
```
data_SrGaS3
_space_group_name_H-M_alt 'P -1'
_space_group_IT_number 2
_cell_length_a 4.628
_cell_length_b 7.263
_cell_length_c 7.426
_cell_angle_alpha 81.94
_cell_angle_beta 84.21
_cell_angle_gamma 85.27
loop_
_space_group_symop_operation_xyz
'x,y,z'
'-x,-y,-z'
loop_
_atom_site_label
_atom_site_type_symbol
_atom_site_fract_x
_atom_site_fract_y
_atom_site_fract_z
Sr1 Sr 0.239 0.337 0.303
Ga1 Ga 0.054 0.133 0.816
S1 S 0.182 0.920 0.442
S2 S 0.230 0.832 0.915
S3 S 0.289 0.386 0.699
```

Properties
**Final energy**: -45.894 eV for the cell shown
**V**: 24.53 A^3/atom

***

No. 7
Compound: TmPd2Au2
Source: Alexandria
Functional: PBE
Structure: optimized geometry

Structure (CIF):
```
data_TmPd2Au2
_space_group_name_H-M_alt 'I 4/m m m'
_space_group_IT_number 139
_space_group_name_Hall '-I 4 2'
_cell_length_a 5.061
_cell_length_b 5.061
_cell_length_c 8.402
_cell_angle_alpha 90.00
_cell_angle_beta 90.00
_cell_angle_gamma 90.00
loop_
_atom_site_label
_atom_site_type_symbol
_atom_site_fract_x
_atom_site_fract_y
_atom_site_fract_z
Tm1 Tm 0.000 0.000 0.000
Pd1 Pd 0.000 0.500 0.250
Au1 Au 0.000 0.000 0.344
```

Properties
**Final energy**: -45.264 eV for the cell shown
**V**: 21.52 A^3/atom

***

No. 8
Compound: Ac8AsRh3Se4
Source: Alexandria
Functional: PBE
Structure: optimized geometry

Structure (CIF):
```
data_Ac8AsRh3Se4
_space_group_name_H-M_alt 'R -3 m'
_space_group_IT_number 166
_space_group_name_Hall '-R 3 2"'
_cell_length_a 8.7949
_cell_length_b 8.7949
_cell_length_c 22.7754
_cell_angle_alpha 90.00
_cell_angle_beta 90.00
_cell_angle_gamma 120.00
loop_
_atom_site_label
_atom_site_type_symbol
_atom_site_fract_x
_atom_site_fract_y
_atom_site_fract_z
Ac1 Ac 0.0000 0.0000 0.2431
Ac2 Ac 0.0097 0.5049 0.7581
As1 As 0.0000 0.0000 0.5000
Rh1 Rh 0.0000 0.5000 0.5000
Se1 Se 0.0000 0.0000 0.0000
Se2 Se 0.0000 0.5000 0.0000
```

Properties
**Final energy**: -285.369 eV for the cell shown
**V**: 31.78 A^3/atom

***

| no. | size of the total moment (μB/cell) |
| --- | --- |
| 1 | 0.00 |
| 2 | 0.00 |
| 3 | 0.00 |
| 4 | 0.00 |
| 5 | 0.00 |
| 6 | 0.00 |
| 7 | 0.00 |
| 8 | 0.00 |